DFT (PBE-GGA) results for HRhSN2 after structural relaxation.

Properties
Total energy in eV/atom: -4.730
Total magnetic moment in μB/cell: 0.73
Polymorph energy (0 for the lowest one) in meV/atom: 0.0
Symmetry: P4/mmm, No. 123

Cell and atoms, written as extended XYZ:
```
5
Lattice="3.710 0.000 0.000 0.000 3.710 0.000 0.000 0.000 5.211" Properties=species:S:1:pos:R:3 pbc="T T T"
Rh 0.000 0.000 0.000
N 0.000 1.855 0.000
N 1.855 0.000 0.000
S 0.000 0.000 2.606
H 1.855 1.855 2.606
```



DFT (PBE-GGA) results for SrGaF2 after structural relaxation.

Properties
Total energy in eV/atom: -4.659
Total magnetic moment in μB/cell: 0.00
Polymorph energy (0 for the lowest one) in meV/atom: 0.0
Symmetry: R-3m, No. 166

Cell and atoms, written as extended XYZ:
```
4
Lattice="2.250 0.000 7.136 -1.125 1.948 7.136 -1.125 -1.948 7.136" Properties=species:S:1:pos:R:3 pbc="T T T"
F 0.000 0.000 18.784
F 0.000 0.000 2.625
Ga 0.000 0.000 0.000
Sr 0.000 0.000 10.704
```



DFT (PBE-GGA) results for BSb3Se after structural relaxation.

Properties
Total energy in eV/atom: -2.954
Total magnetic moment in μB/cell: 0.00
Polymorph energy (0 for the lowest one) in meV/atom: 801.6
Symmetry: Pm-3m, No. 221

Cell and atoms, written as extended XYZ:
```
5
Lattice="-1.863 -2.241 -4.563 4.203 -3.413 -0.040 -2.860 -3.556 2.914" Properties=species:S:1:pos:R:3 pbc="T T T"
Se 0.000 0.000 0.000
Sb 2.101 -1.707 -0.020
Sb -1.430 -1.778 1.457
Sb -0.932 -1.120 -2.282
B -0.260 -4.605 -0.845
```



DFT (PBE-GGA) results for HgRuBr2 after structural relaxation.

Properties
Total energy in eV/atom: -3.165
Total magnetic moment in μB/cell: 0.00
Polymorph energy (0 for the lowest one) in meV/atom: 96.5
Symmetry: Pm, No. 6

Cell and atoms, written as extended XYZ:
```
4
Lattice="3.272 0.000 0.000 0.000 4.546 0.136 0.000 2.092 7.276" Properties=species:S:1:pos:R:3 pbc="T T T"
Ru 1.636 5.847 4.936
Hg 0.000 3.587 4.424
Br 1.636 1.369 2.350
Br 0.000 5.792 6.820
```



DFT (PBE-GGA) results for LiZn2GaAg2 after structural relaxation.

Properties
Total energy in eV/atom: -2.317
Total magnetic moment in μB/cell: 0.00
Symmetry: Pmc2_1, No. 26

Cell and atoms, written as extended XYZ:
```
12
Lattice="4.145 0.000 0.000 0.000 5.550 0.000 0.000 0.000 8.333" Properties=species:S:1:pos:R:3 pbc="T T T"
Ag 2.072 0.759 2.856
Ag 0.000 4.882 1.316
Ag 0.000 2.107 7.017
Ag 2.072 3.534 5.477
Li 0.000 2.123 4.215
Li 0.000 4.898 4.117
Zn 0.000 4.899 6.838
Zn 2.072 3.517 8.303
Zn 2.072 0.742 0.030
Zn 0.000 2.125 1.495
Ga 2.072 3.497 2.715
Ga 2.072 0.722 5.618
```



DFT (PBE-GGA) results for La3NbF after structural relaxation.

Properties
Total energy in eV/atom: -6.039
Total magnetic moment in μB/cell: 0.00
Polymorph energy (0 for the lowest one) in meV/atom: 0.0
Symmetry: Pm-3m, No. 221

Cell and atoms, written as extended XYZ:
```
5
Lattice="5.066 0.000 0.000 0.000 5.066 0.000 0.000 0.000 5.066" Properties=species:S:1:pos:R:3 pbc="T T T"
Nb 2.533 2.533 2.533
La 0.000 0.000 2.533
La 0.000 2.533 0.000
La 2.533 0.000 0.000
F 0.000 0.000 0.000
```